# 1
Tc2HRuW | PBE-GGA | optimized geometry

The energy above the lowest structure with this stoichiometry comes out at 51.6 meV/atom.

The space group is P4/mmm (No. 123) and the conventional cell measures 3.9168, 3.9168 and 3.9955 Å, with angles of 90.00, 90.00 and 90.00 degrees. The asymmetric unit holds Tc at (0.0000, 0.5000, 0.0000), H at (0.0000, 0.0000, 0.0000), Ru at (0.5000, 0.5000, 0.5000) and W at (0.0000, 0.0000, 0.5000).

# 2
Nb2SnGe | PBE-GGA | optimized geometry

The uncorrected energy comes out at -6.92 eV/atom.

The space group is I-42d (No. 122) and the conventional cell measures 4.0359, 4.0359 and 19.9231 Å, with angles of 90.00, 90.00 and 90.00 degrees. The asymmetric unit holds Nb at (0.2338, 0.2500, 0.1250), Sn at (0.0000, 0.0000, 0.5000) and Ge at (0.0000, 0.0000, 0.0000).

# 3
CuSi2C | PBE-GGA | optimized geometry

The formation energy (no corrections) comes out at 381 meV/atom.

The space group is I-42d (No. 122) and the conventional cell measures 5.1056, 5.1056 and 8.4988 Å, with angles of 90.00, 90.00 and 90.00 degrees. The asymmetric unit holds Cu at (0.0000, 0.0000, 0.0000), Si at (0.1857, 0.2500, 0.6250) and C at (0.0000, 0.0000, 0.5000).

# 4
Sm2Ho2In7 | PBE-GGA | optimized geometry

The uncorrected energy comes out at -3.42 eV/atom.

The space group is Cmmm (No. 65) and the conventional cell measures 8.7295, 10.8664 and 7.2559 Å, with angles of 90.00, 90.00 and 90.00 degrees. The asymmetric unit holds Sm at (0.1817, 0.0000, 0.0000), Ho at (0.0000, 0.2960, 0.5000), In at (0.0000, 0.0000, 0.5000), In at (0.0000, 0.5000, 0.2028) and In at (0.2500, 0.2500, 0.2073).

# 5
SrTiCr2Re | PBE-GGA | optimized geometry

The uncorrected energy comes out at -6.72 eV/atom.

The space group is P4/mmm (No. 123) and the conventional cell measures 4.7046, 4.7046 and 5.5209 Å, with angles of 90.00, 90.00 and 90.00 degrees. The asymmetric unit holds Sr at (0.0000, 0.0000, 0.0000), Ti at (0.5000, 0.5000, 0.0000), Cr at (0.0000, 0.5000, 0.5000) and Re at (0.0000, 0.0000, 0.5000).

# 6
Nd2AsH | PBE-GGA | optimized geometry

The energy above the lowest structure with this stoichiometry comes out at 121.0 meV/atom.

The space group is R3m (No. 160, hexagonal axes) and the conventional cell measures 3.9621, 3.9621 and 20.6235 Å, with angles of 90.00, 90.00 and 120.00 degrees. The asymmetric unit holds Nd at (0.0000, 0.0000, 0.0000), Nd at (0.0000, 0.0000, 0.1635), As at (0.0000, 0.0000, 0.5827) and H at (0.0000, 0.0000, 0.7590).

| no. | DOS(E_F) (states/eV/cell) | V (A^3/atom) |
| --- | --- | --- |
| 1 | 5.6 | 12.3 |
| 2 | 18.6 | 20.3 |
| 3 | 10.4 | 13.8 |
| 4 | 15.3 | 31.3 |
| 5 | 10.7 | 24.4 |
| 6 | 3.7 | 23.4 |